one) This record from Alexandria via LeMat-Bulk describes an optimized crystal structure of Y3Er. The functional is PBE.

Results
Volume   32.22 Å³ per atom

Cell: 3.6357 5.6297 6.2968 Å, 90.00 90.00 90.00°
Space group Pmm2 (No. 25)
Symmetry-distinct sites (fractional):
Y  0.0000  0.0000  0.0000 [1 per cell]
Y  0.0000  0.5000  0.3350 [1 per cell]
Y  0.5000  0.5000  0.8330 [1 per cell]
Er  0.5000  0.0000  0.5007 [1 per cell]

two) This record from Alexandria via LeMat-Bulk describes an optimized crystal structure of Y3Er. The functional is PBE.

Results
Volume   31.80 Å³ per atom

Cell: 5.0289 5.0289 5.0289 Å, 90.00 90.00 90.00°
Space group Pm-3m (No. 221)
Symmetry-distinct sites (fractional):
Y  0.0000  0.0000  0.5000 [3 per cell]
Er  0.5000  0.5000  0.5000 [1 per cell]

Last place for stability: two)

one) This record from Alexandria via LeMat-Bulk describes an optimized crystal structure of Y2Er13. The functional is PBE.

Results
Volume   38.74 Å³ per atom

Cell: 9.0969 9.0969 24.3248 Å, 90.00 90.00 120.00°
Space group R-3m (No. 166, hexagonal axes)
Symmetry-distinct sites (fractional):
Y  0.0000  0.0000  0.2414 [6 per cell]
Er  0.0000  0.0000  0.0000 [3 per cell]
Er  0.0862  0.5431  0.3056 [18 per cell]
Er  0.0918  0.5459  0.5592 [18 per cell]

two) This record from Alexandria via LeMat-Bulk describes an optimized crystal structure of Y2Er13. The functional is PBE.

Results
Volume   35.23 Å³ per atom

Cell: 8.7895 8.7895 23.6977 Å, 90.00 90.00 120.00°
Space group R-3m (No. 166, hexagonal axes)
Symmetry-distinct sites (fractional):
Y  0.0000  0.0000  0.2418 [6 per cell]
Er  0.0000  0.0000  0.5000 [3 per cell]
Er  0.0887  0.5444  0.3026 [18 per cell]
Er  0.0934  0.5467  0.5592 [18 per cell]

Last place for stability: one)

one) This record from Alexandria via LeMat-Bulk describes an optimized crystal structure of Y3Er4. The functional is PBE.

Results
Volume   31.67 Å³ per atom

Cell: 9.5501 9.5501 5.6135 Å, 90.00 90.00 120.00°
Space group P6_3/m (No. 176)
Symmetry-distinct sites (fractional):
Y  0.0486  0.8083  0.2500 [6 per cell]
Er  0.0956  0.6173  0.7500 [6 per cell]
Er  0.3333  0.6667  0.2500 [2 per cell]

two) This record from Alexandria via LeMat-Bulk describes an optimized crystal structure of Y3Er4. The functional is PBE.

Results
Volume   31.86 Å³ per atom

Cell: 16.5578 3.4744 8.6349 Å, 90.00 116.12 90.00°
Space group C2/m (No. 12)
Symmetry-distinct sites (fractional):
Y  0.0000  0.0000  0.0000 [2 per cell]
Y  0.2224  0.0000  0.1512 [4 per cell]
Er  0.0781  0.0000  0.6991 [4 per cell]
Er  0.1340  0.5000  0.4078 [4 per cell]

Last place for stability: two)

one) This record from Alexandria via LeMat-Bulk describes an optimized crystal structure of Y4Er. The functional is PBE.

Results
Volume   32.10 Å³ per atom

Cell: 5.4494 16.7271 3.5218 Å, 90.00 90.00 90.00°
Space group Cmmm (No. 65)
Symmetry-distinct sites (fractional):
Y  0.0000  0.1087  0.0000 [4 per cell]
Y  0.0000  0.3009  0.5000 [4 per cell]
Er  0.0000  0.5000  0.5000 [2 per cell]

two) This record from Alexandria via LeMat-Bulk describes an optimized crystal structure of Y4Er. The functional is PBE.

Results
Volume   36.29 Å³ per atom

Cell: 5.6616 5.6616 5.6616 Å, 90.00 90.00 90.00°
Space group Pm-3m (No. 221)
Symmetry-distinct sites (fractional):
Y  0.0000  0.0000  0.0000 [1 per cell]
Y  0.0000  0.5000  0.5000 [3 per cell]
Er  0.5000  0.5000  0.5000 [1 per cell]

Last place for stability: two)

one) This record from Alexandria via LeMat-Bulk describes an optimized crystal structure of Y5Er7. The functional is PBE.

Results
Volume   32.02 Å³ per atom

Cell: 9.6031 5.6253 14.5863 Å, 90.00 102.76 90.00°
Space group C2/m (No. 12)
Symmetry-distinct sites (fractional):
Y  0.0000  0.0000  0.0000 [2 per cell]
Y  0.1112  0.5000  0.8055 [4 per cell]
Y  0.1444  0.0000  0.4384 [4 per cell]
Er  0.0000  0.5000  0.5000 [2 per cell]
Er  0.0593  0.0000  0.2124 [4 per cell]
Er  0.1893  0.5000  0.0789 [4 per cell]
Er  0.2317  0.0000  0.6738 [4 per cell]

two) This record from Alexandria via LeMat-Bulk describes an optimized crystal structure of Y5Er7. The functional is PBE.

Results
Volume   31.23 Å³ per atom

Cell: 18.4448 3.5487 12.9989 Å, 90.00 118.25 90.00°
Space group C2/m (No. 12)
Symmetry-distinct sites (fractional):
Y  0.0000  0.0000  0.0000 [2 per cell]
Y  0.1660  0.0000  0.4989 [4 per cell]
Y  0.1952  0.5000  0.7513 [4 per cell]
Er  0.0000  0.5000  0.5000 [2 per cell]
Er  0.0275  0.0000  0.7498 [4 per cell]
Er  0.1383  0.5000  0.2491 [4 per cell]
Er  0.1661  0.5000  0.9983 [4 per cell]

Last place for stability: one)

one) This record from Alexandria via LeMat-Bulk describes an optimized crystal structure of Y3Er13. The functional is PBE.

Results
Volume   31.27 Å³ per atom

Cell: 7.2033 11.1514 12.4560 Å, 90.00 90.00 90.00°
Space group Amm2 (No. 38)
Symmetry-distinct sites (fractional):
Y  0.0000  0.0000  0.0000 [2 per cell]
Y  0.2507  0.0000  0.7482 [4 per cell]
Er  0.0000  0.0000  0.4984 [2 per cell]
Er  0.0000  0.2494  0.1663 [4 per cell]
Er  0.2501  0.0000  0.2498 [4 per cell]
Er  0.2506  0.2490  0.4161 [8 per cell]
Er  0.5000  0.0000  0.9996 [2 per cell]
Er  0.5000  0.0000  0.4984 [2 per cell]
Er  0.5000  0.2481  0.1654 [4 per cell]

two) This record from Alexandria via LeMat-Bulk describes an optimized crystal structure of Y3Er13. The functional is PBE.

Results
Volume   30.75 Å³ per atom

Cell: 9.9374 9.9506 9.9517 Å, 90.00 90.00 90.00°
Space group Amm2 (No. 38)
Symmetry-distinct sites (fractional):
Y  0.0000  0.0000  0.0000 [2 per cell]
Y  0.2507  0.0000  0.2513 [4 per cell]
Er  0.0000  0.0000  0.5017 [2 per cell]
Er  0.0000  0.2491  0.7508 [4 per cell]
Er  0.2506  0.0000  0.7503 [4 per cell]
Er  0.2507  0.2505  0.0008 [8 per cell]
Er  0.5000  0.0000  0.9997 [2 per cell]
Er  0.5000  0.0000  0.5019 [2 per cell]
Er  0.5000  0.2490  0.7508 [4 per cell]

Last place for stability: two)

one) This record from Alexandria via LeMat-Bulk describes an optimized crystal structure of Y7Er3. The functional is PBE.

Results
Volume   31.96 Å³ per atom

Cell: 5.4417 7.0455 16.6745 Å, 90.00 90.00 90.00°
Space group Immm (No. 71)
Symmetry-distinct sites (fractional):
Y  0.0000  0.0000  0.0000 [2 per cell]
Y  0.0000  0.2498  0.3899 [8 per cell]
Y  0.0000  0.5000  0.1996 [4 per cell]
Er  0.0000  0.0000  0.1996 [4 per cell]
Er  0.0000  0.5000  0.0000 [2 per cell]

two) This record from Alexandria via LeMat-Bulk describes an optimized crystal structure of Y7Er3. The functional is PBE.

Results
Volume   32.43 Å³ per atom

Cell: 10.8029 10.8029 6.4181 Å, 90.00 90.00 120.00°
Space group P6_3mc (No. 186)
Symmetry-distinct sites (fractional):
Y  0.0595  0.5297  0.0000 [6 per cell]
Y  0.1202  0.2404  0.8266 [6 per cell]
Y  0.3333  0.6667  0.6941 [2 per cell]
Er  0.2067  0.4135  0.3451 [6 per cell]

Last place for stability: two)

one) This record from Alexandria via LeMat-Bulk describes an optimized crystal structure of Y3Er7. The functional is PBE.

Results
Volume   30.96 Å³ per atom

Cell: 17.9697 4.9723 7.0666 Å, 90.00 101.29 90.00°
Space group C2/m (No. 12)
Symmetry-distinct sites (fractional):
Y  0.0000  0.0000  0.0000 [2 per cell]
Y  0.1994  0.0000  0.6003 [4 per cell]
Er  0.0000  0.0000  0.5000 [2 per cell]
Er  0.0995  0.5000  0.2997 [4 per cell]
Er  0.1001  0.5000  0.8003 [4 per cell]
Er  0.1999  0.0000  0.0994 [4 per cell]

two) This record from Alexandria via LeMat-Bulk describes an optimized crystal structure of Y3Er7. The functional is PBE.

Results
Volume   31.78 Å³ per atom

Cell: 10.8048 10.8048 6.2869 Å, 90.00 90.00 120.00°
Space group P6_3mc (No. 186)
Symmetry-distinct sites (fractional):
Y  0.2104  0.4208  0.0000 [6 per cell]
Er  0.0585  0.5292  0.6391 [6 per cell]
Er  0.1188  0.2376  0.4880 [6 per cell]
Er  0.3333  0.6667  0.3636 [2 per cell]

Last place for stability: two)

one) This record from Alexandria via LeMat-Bulk describes an optimized crystal structure of Y13Er3. The functional is PBE.

Results
Volume   31.83 Å³ per atom

Cell: 10.0404 10.0719 10.0716 Å, 90.00 90.00 90.00°
Space group Amm2 (No. 38)
Symmetry-distinct sites (fractional):
Y  0.0000  0.0000  0.0000 [2 per cell]
Y  0.0000  0.0000  0.4984 [2 per cell]
Y  0.0000  0.2492  0.2492 [4 per cell]
Y  0.2509  0.0000  0.7497 [4 per cell]
Y  0.2507  0.2505  0.4992 [8 per cell]
Y  0.5000  0.0000  0.4983 [2 per cell]
Y  0.5000  0.2490  0.2492 [4 per cell]
Er  0.2505  0.0000  0.2487 [4 per cell]
Er  0.5000  0.0000  0.0001 [2 per cell]

two) This record from Alexandria via LeMat-Bulk describes an optimized crystal structure of Y13Er3. The functional is PBE.

Results
Volume   32.35 Å³ per atom

Cell: 7.2827 11.2906 12.5911 Å, 90.00 90.00 90.00°
Space group Amm2 (No. 38)
Symmetry-distinct sites (fractional):
Y  0.0000  0.0000  0.9999 [2 per cell]
Y  0.0000  0.0000  0.4986 [2 per cell]
Y  0.0000  0.2482  0.1668 [4 per cell]
Y  0.2501  0.0000  0.7486 [4 per cell]
Y  0.2507  0.2490  0.4161 [8 per cell]
Y  0.5000  0.0000  0.0000 [2 per cell]
Y  0.5000  0.2494  0.1659 [4 per cell]
Er  0.2507  0.0000  0.2500 [4 per cell]
Er  0.5000  0.0000  0.4983 [2 per cell]

Last place for stability: one)

one) This record from Alexandria via LeMat-Bulk describes an optimized crystal structure of Y2Er3Zn2. The functional is PBE.

Results
Volume   27.05 Å³ per atom

Cell: 11.2216 4.6438 8.0722 Å, 90.00 115.80 90.00°
Space group C2/m (No. 12)
Symmetry-distinct sites (fractional):
Y  0.1368  0.0000  0.2897 [4 per cell]
Er  0.0000  0.5000  0.5000 [2 per cell]
Er  0.1327  0.5000  0.9567 [4 per cell]
Zn  0.1518  0.0000  0.6903 [4 per cell]

two) This record from Alexandria via LeMat-Bulk describes an optimized crystal structure of Y2Er3Zn2. The functional is PBE.

Results
Volume   26.79 Å³ per atom

Cell: 3.5139 30.5700 3.4914 Å, 90.00 90.00 90.00°
Space group Cmmm (No. 65)
Symmetry-distinct sites (fractional):
Y  0.0000  0.2001  0.0000 [4 per cell]
Er  0.0000  0.3834  0.5000 [4 per cell]
Er  0.0000  0.5000  0.5000 [2 per cell]
Zn  0.0000  0.0573  0.0000 [4 per cell]

Last place for stability: one)